Entry from Alexandria via LeMat-Bulk: ReWCl2 after structural relaxation (GGA-PBE).

Cell lengths 5.554, 3.432, 9.230 Å; angles 90.00, 97.99, 90.00 degrees
Space group Cm (No. 8)
One atom of each set of equivalent atoms:
Re1 0.000 0.000 0.000 x2
W1 0.351 0.000 0.826 x2
Cl1 0.082 0.500 0.617 x2
Cl2 0.317 0.500 0.220 x2

Results
Size of the total moment ... 0.00 μB/f.u.
Energy ... -7.36 eV/atom
ΔE_f (raw) ... -0.088 eV/atom
Energy relative to the lowest polymorph listed for this composition ... 94 meV per atom

Entry from Alexandria via LeMat-Bulk: BaAl2Si after structural relaxation (GGA-PBE).

Cell lengths 4.917, 4.134, 5.749 Å; angles 90.00, 104.14, 90.00 degrees
Space group P2/m (No. 10)
One atom of each set of equivalent atoms:
Ba1 0.000 0.000 0.000 x1
Al1 0.272 0.500 0.618 x2
Si1 0.500 0.000 0.500 x1

Results
Size of the total moment ... 0.00 μB/f.u.
Energy ... -3.76 eV/atom
ΔE_f (raw) ... -0.052 eV/atom

Copy entry 2 word for word.
Entry from Alexandria via LeMat-Bulk: BaAl2Si after structural relaxation (GGA-PBE).

Cell lengths 4.917, 4.134, 5.749 Å; angles 90.00, 104.14, 90.00 degrees
Space group P2/m (No. 10)
One atom of each set of equivalent atoms:
Ba1 0.000 0.000 0.000 x1
Al1 0.272 0.500 0.618 x2
Si1 0.500 0.000 0.500 x1

Results
Size of the total moment ... 0.00 μB/f.u.
Energy ... -3.76 eV/atom
ΔE_f (raw) ... -0.052 eV/atom

Please write out number 2 again, unchanged.
Entry from Alexandria via LeMat-Bulk: BaAl2Si after structural relaxation (GGA-PBE).

Cell lengths 4.917, 4.134, 5.749 Å; angles 90.00, 104.14, 90.00 degrees
Space group P2/m (No. 10)
One atom of each set of equivalent atoms:
Ba1 0.000 0.000 0.000 x1
Al1 0.272 0.500 0.618 x2
Si1 0.500 0.000 0.500 x1

Results
Size of the total moment ... 0.00 μB/f.u.
Energy ... -3.76 eV/atom
ΔE_f (raw) ... -0.052 eV/atom